Entry from the Alexandria database: a geometry-optimized Er5ScIn2 structure (PBE).

Lattice parameters (Å, degrees): 5.3179 5.3179 27.0804 90.00 90.00 120.00
Last column: nearest neighbours and their distance in Å.
Space group R-3m (No. 166, hexagonal axes)
Unique sites:
Er 0.0000 0.0000 0.0000 x3  6 In 3.38, 8 Er 3.55-3.63
Er 0.0000 0.0000 0.1312 x6  3 Sc 3.22, 5 Er 3.47-3.55
Er 0.0000 0.0000 0.2618 x6  4 In 3.11-3.35, 3 Er 3.47
Sc 0.0000 0.0000 0.5000 x3  2 In 3.10, 6 Er 3.22
In 0.0000 0.0000 0.3857 x6  1 Sc 3.10, 7 Er 3.11-3.38

Summary:
DFT formation energy (meV per atom): -218.0
Size of the total moment (μB per cell): 0.00
Uncorrected energy (eV per cell): -109.101

Entry from the Alexandria database: a geometry-optimized AcLa3Al structure (PBE).

Lattice parameters (Å, degrees): 10.8671 10.0607 6.5892 90.00 90.00 90.00
Last column: nearest neighbours and their distance in Å.
Space group Ama2 (No. 40)
Unique sites:
Ac 0.2500 0.1283 0.0000 x4  2 Al 3.45, 7 La 3.58-3.62
La 0.0684 0.3050 0.3726 x8  2 Al 3.25-3.28, 2 Ac 3.62, 1 La 3.63
La 0.2500 0.4860 0.0023 x4  2 Al 3.17
Al 0.0000 0.0000 0.2558 x4  6 La 3.17-3.28, 2 Ac 3.45

Summary:
DFT formation energy (meV per atom): -3.2
Size of the total moment (μB per cell): 0.00
Relative energy among the computed polymorphs (eV per formula unit): 0.62
Uncorrected energy (eV per cell): -90.598

Entry from the Alexandria database: a geometry-optimized SrMn2Mo structure (PBE).

Lattice parameters (Å, degrees): 4.2976 5.3965 7.2077 90.00 90.00 90.00
Last column: nearest neighbours and their distance in Å.
Space group Immm (No. 71)
Unique sites:
Sr 0.0000 0.0000 0.0000 x2  8 Mn 3.04-3.08
Mn 0.0000 0.5000 0.1945 x4  2 Mo 2.57, 1 Mn 2.80
Mo 0.0000 0.0000 0.5000 x2  4 Mn 2.57

Summary:
DFT formation energy (meV per atom): 829.1
Size of the total moment (μB per cell): 9.70
Relative energy among the computed polymorphs (eV per formula unit): 1.37
Uncorrected energy (eV per cell): -55.071

Entry from the Alexandria database: a geometry-optimized TbAgGeTe3 structure (PBE).

Lattice parameters (Å, degrees): 8.6626 4.2039 9.6083 90.00 101.71 90.00
Last column: nearest neighbours and their distance in Å.
Space group P2_1/m (No. 11)
Unique sites:
Tb 0.1775 0.2500 0.2425 x2  7 Te 3.17-3.42, 1 Ag 3.51
Ag 0.0841 0.2500 0.5813 x2  2 Ag 2.84, 4 Te 2.85-3.00
Ge 0.3348 0.7500 0.8483 x2  5 Te 2.83-3.03
Te 0.0937 0.2500 0.8794 x2  1 Ag 2.85, 2 Ge 3.02
Te 0.2690 0.7500 0.4927 x2  3 Ag 2.87-3.00, 2 Tb 3.17
Te 0.4129 0.7500 0.1492 x2  3 Ge 2.83-3.03

Summary:
Formation energy (no corrections) (eV per atom): -0.60
Size of the total moment (μB per cell): 0.00
Uncorrected energy (eV per cell): -50.217

Entry from the Alexandria database: a geometry-optimized MgSn2O5 structure (PBE).

Lattice parameters (Å, degrees): 3.3513 13.0192 5.2235 90.00 90.00 90.00
Last column: nearest neighbours and their distance in Å.
Space group Pmmn (No. 59, origin choice 2)
Unique sites:
Mg 0.2500 0.2500 0.0650 x2  6 O 2.24-2.35
Sn 0.2500 0.6099 0.4271 x4  4 O 1.93-2.08
O 0.2500 0.0646 0.3868 x4  2 Sn 2.03
O 0.2500 0.6496 0.0714 x4  1 Sn 1.93
O 0.2500 0.7500 0.6185 x2  2 Sn 2.08

Summary:
Formation energy (no corrections) (eV per atom): -1.61
Size of the total moment (μB per cell): 0.08
Relative energy among the computed polymorphs (eV per formula unit): 2.23
Uncorrected energy (eV per cell): -94.529

Entry from the Alexandria database: a geometry-optimized Sr4BiO6 structure (PBE).

Lattice parameters (Å, degrees): 10.2747 10.2747 12.3420 90.00 90.00 120.00
Last column: nearest neighbours and their distance in Å.
Space group R-3c (No. 167, hexagonal axes)
Unique sites:
Sr 0.0000 0.0000 0.2500 x6  6 O 2.55
Sr 0.0000 0.3533 0.2500 x18  6 O 2.54-2.80
Bi 0.0000 0.0000 0.0000 x6  6 O 2.28
O 0.0353 0.1947 0.3921 x36  1 Bi 2.28, 2 Sr 2.54-2.55

Summary:
Formation energy (no corrections) (eV per atom): -2.26
Size of the total moment (μB per cell): 2.92
Uncorrected energy (eV per cell): -391.129

Entry from the Alexandria database: a geometry-optimized ZrGa3Au structure (PBE).

Lattice parameters (Å, degrees): 5.2000 5.2000 5.2000 90.00 90.00 90.00
Last column: nearest neighbours and their distance in Å.
Space group Pm-3m (No. 221)
Unique sites:
Zr 0.0000 0.0000 0.0000 x1  6 Ga 2.60
Ga 0.0000 0.0000 0.5000 x3  2 Zr 2.60
Au 0.5000 0.5000 0.5000 x1  12 Ga 3.68

Summary:
DFT formation energy (meV per atom): 746.7
Size of the total moment (μB per cell): 0.00
Relative energy among the computed polymorphs (eV per formula unit): 5.11
Uncorrected energy (eV per cell): -17.173

Entry from the Alexandria database: a geometry-optimized AgMo2W structure (PBE).

Lattice parameters (Å, degrees): 3.2835 3.2835 6.0943 90.00 90.00 90.00
Last column: nearest neighbours and their distance in Å.
Space group P4mm (No. 99)
Unique sites:
Ag 0.0000 0.0000 0.0000 x1  4 W 2.85, 6 Mo 2.85-3.05
Mo 0.0000 0.0000 0.4992 x1  4 Mo 2.71, 4 W 2.71
Mo 0.5000 0.5000 0.2714 x1  4 Mo 2.71, 1 W 2.79, 4 Ag 2.85
W 0.5000 0.5000 0.7296 x1  5 Mo 2.71-2.79, 4 Ag 2.85

Summary:
DFT formation energy (meV per atom): 488.5
Size of the total moment (μB per cell): 0.00
Relative energy among the computed polymorphs (eV per formula unit): 0.97
Uncorrected energy (eV per cell): -35.513